VASP calculation (PBE) on a relaxed CeTl2Pb crystal.

The formation energy comes out at -111 kJ/mol of formula units. Its energy above the most stable polymorph in this dataset is 0 meV per atom.

The structure belongs to space group P4/mmm (No. 123); the cell edges are 4.761, 4.761 and 5.031 Å and the angles 90.00°, 90.00° and 90.00°. The inequivalent atoms are Ce at (0.000, 0.000, 0.000), Tl at (0.000, 0.500, 0.500) and Pb at (0.500, 0.500, 0.000).

VASP calculation (PBE) on a relaxed SbSNO2 crystal.

The uncorrected formation energy comes out at 1.9 eV per formula unit.

The structure belongs to space group P4/mmm (No. 123); the cell edges are 3.719, 3.719 and 4.124 Å and the angles 90.00°, 90.00° and 90.00°. The inequivalent atoms are Sb at (0.000, 0.000, 0.000), S at (0.500, 0.500, 0.500), N at (0.500, 0.500, 0.000) and O at (0.000, 0.500, 0.500).

VASP calculation (PBE) on a relaxed ErZn4Co2 crystal.

The formation energy comes out at -126 kJ/mol of formula units.

The structure belongs to space group C2/m (No. 12); the cell edges are 8.132, 6.474 and 4.941 Å and the angles 90.00°, 127.24° and 90.00°. The inequivalent atoms are Er at (0.000, 0.000, 0.000), Zn at (0.194, 0.194, 0.694) and Co at (0.000, 0.500, 0.250).

VASP calculation (PBE) on a relaxed NbCdRh3 crystal.

The formation energy comes out at 774 kJ/mol of formula units. Its energy above the most stable polymorph in this dataset is 877 meV per atom.

The structure belongs to space group Pm-3m (No. 221); the cell edges are 4.723, 4.723 and 4.723 Å and the angles 90.00°, 90.00° and 90.00°. The inequivalent atoms are Nb at (0.000, 0.000, 0.000), Cd at (0.500, 0.500, 0.500) and Rh at (0.000, 0.500, 0.500).

VASP calculation (PBE) on a relaxed ReB2W crystal.

The formation energy comes out at 13 kJ/mol of formula units. Its energy above the most stable polymorph in this dataset is 114 meV per atom.

The structure belongs to space group R-3m (No. 166, hexagonal axes); the cell edges are 3.1574, 3.1574 and 15.3287 Å and the angles 90.00°, 90.00° and 120.00°. The inequivalent atoms are Re at (0.0000, 0.0000, 0.0000), B at (0.0000, 0.0000, 0.2513) and W at (0.0000, 0.0000, 0.5000).

VASP calculation (PBE) on a relaxed Mg2MnBr crystal.

Its energy above the most stable polymorph in this dataset is 194 meV per atom. The uncorrected formation energy comes out at 0.3 eV per formula unit.

The structure belongs to space group Cmm2 (No. 35); the cell edges are 3.615, 5.532 and 8.920 Å and the angles 90.00°, 90.00° and 90.00°. The inequivalent atoms are Mg at (0.000, 0.000, 0.000), Mg at (0.000, 0.500, 0.277), Mn at (0.000, 0.000, 0.516) and Br at (0.000, 0.500, 0.745).

VASP calculation (PBE) on a relaxed Ba8Bi10O27 crystal.

The uncorrected formation energy comes out at -75.9 eV per formula unit.

The structure belongs to space group R-3 (No. 148, hexagonal axes); the cell edges are 10.8762, 10.8762 and 22.7732 Å and the angles 90.00°, 90.00° and 120.00°. The inequivalent atoms are Ba at (0.0000, 0.0000, 0.1619), Ba at (0.0044, 0.6618, 0.6074), Bi at (0.0000, 0.0000, 0.0000), Bi at (0.0000, 0.0000, 0.3423), Bi at (0.0000, 0.0000, 0.5000), Bi at (0.0014, 0.6700, 0.4444), O at (0.0000, 0.5000, 0.5000), O at (0.0114, 0.1963, 0.2932), O at (0.0176, 0.8459, 0.0570), O at (0.0298, 0.5264, 0.8435) and O at (0.0472, 0.1662, 0.5849).

VASP calculation (PBE) on a relaxed CuGeTe crystal.

The uncorrected formation energy comes out at 0.3 eV per formula unit.

The structure belongs to space group P3m1 (No. 156); the cell edges are 3.9570, 3.9570 and 4.7121 Å and the angles 90.00°, 90.00° and 120.00°. The inequivalent atoms are Cu at (0.0000, 0.0000, 0.0000), Ge at (0.3333, 0.6667, 0.2428) and Te at (0.6667, 0.3333, 0.7177).

VASP calculation (PBE) on a relaxed Pm6Pr3SmHo2 crystal.

The formation energy comes out at 19 kJ/mol of formula units.

The structure belongs to space group C2/m (No. 12); the cell edges are 6.315, 10.939 and 12.084 Å and the angles 90.00°, 100.05° and 90.00°. The inequivalent atoms are Pm at (0.248, 0.000, 0.246), Pm at (0.249, 0.333, 0.246), Pr at (0.000, 0.000, 0.500), Pr at (0.000, 0.333, 0.500), Sm at (0.000, 0.500, 0.000) and Ho at (0.000, 0.167, 0.000).

VASP calculation (PBE) on a relaxed LiCrIr2 crystal.

The formation energy comes out at -18 kJ/mol of formula units.

The structure belongs to space group P2/m (No. 10); the cell edges are 2.666, 3.873 and 5.206 Å and the angles 90.00°, 102.61° and 90.00°. The inequivalent atoms are Li at (0.000, 0.000, 0.000), Cr at (0.000, 0.000, 0.500) and Ir at (0.394, 0.500, 0.239).

VASP calculation (PBE) on a relaxed LiCu4Au7 crystal.

The formation energy comes out at -22 kJ/mol of formula units.

The structure belongs to space group C2/m (No. 12); the cell edges are 11.686, 4.631 and 9.404 Å and the angles 90.00°, 125.91° and 90.00°. The inequivalent atoms are Li at (0.000, 0.000, 0.000), Cu at (0.068, 0.500, 0.782), Cu at (0.200, 0.500, 0.336), Au at (0.000, 0.500, 0.000), Au at (0.074, 0.000, 0.334), Au at (0.147, 0.500, 0.577) and Au at (0.218, 0.000, 0.875).

VASP calculation (PBE) on a relaxed CdCuHAu2 crystal.

The calculation puts the total energy at -0.1056 hartree per atom.

The structure belongs to space group P4/mmm (No. 123); the cell edges are 4.597, 4.597 and 3.449 Å and the angles 90.00°, 90.00° and 90.00°. The inequivalent atoms are Cd at (0.000, 0.000, 0.000), Cu at (0.500, 0.500, 0.000), H at (0.500, 0.500, 0.500) and Au at (0.000, 0.500, 0.500).

VASP calculation (PBE) on a relaxed TiV2Tc crystal.

The formation energy comes out at -104 kJ/mol of formula units.

The structure belongs to space group Immm (No. 71); the cell edges are 3.054, 4.255 and 8.840 Å and the angles 90.00°, 90.00° and 90.00°. The inequivalent atoms are Ti at (0.000, 0.000, 0.000), V at (0.000, 0.500, 0.238) and Tc at (0.000, 0.000, 0.500).

VASP calculation (PBE) on a relaxed HoLuNi crystal.

The formation energy comes out at -83 kJ/mol of formula units. Its energy above the most stable polymorph in this dataset is 0 meV per atom.

The structure belongs to space group I4mm (No. 107); the cell edges are 3.356, 3.356 and 12.201 Å and the angles 90.00°, 90.00° and 90.00°. The inequivalent atoms are Ho at (0.000, 0.000, 0.000), Lu at (0.000, 0.000, 0.264) and Ni at (0.000, 0.000, 0.636).

VASP calculation (PBE) on a relaxed TbPr3Dy6Ho2 crystal.

The formation energy comes out at 22 kJ/mol of formula units.

The structure belongs to space group C2/m (No. 12); the cell edges are 6.214, 10.759 and 11.849 Å and the angles 90.00°, 100.03° and 90.00°. The inequivalent atoms are Tb at (0.000, 0.000, 0.000), Pr at (0.000, 0.167, 0.500), Pr at (0.000, 0.500, 0.500), Dy at (0.249, 0.167, 0.245), Dy at (0.249, 0.500, 0.245) and Ho at (0.000, 0.333, 0.000).

VASP calculation (PBE) on a relaxed BaCdIn2C crystal.

The formation energy comes out at 965 kJ/mol of formula units.

The structure belongs to space group P4/mmm (No. 123); the cell edges are 6.756, 6.756 and 6.691 Å and the angles 90.00°, 90.00° and 90.00°. The inequivalent atoms are Ba at (0.000, 0.000, 0.000), Cd at (0.000, 0.000, 0.500), In at (0.000, 0.500, 0.000) and C at (0.500, 0.500, 0.500).

VASP calculation (PBE) on a relaxed GaNiHgC crystal.

The formation energy comes out at 195 kJ/mol of formula units. Its energy above the most stable polymorph in this dataset is 49 meV per atom.

The structure belongs to space group Cm (No. 8); the cell edges are 6.477, 2.954 and 6.567 Å and the angles 90.00°, 91.27° and 90.00°. The inequivalent atoms are Ga at (0.000, 0.000, 0.000), Ni at (0.253, 0.000, 0.288), Hg at (0.450, 0.500, 0.589) and C at (0.208, 0.500, 0.108).

VASP calculation (PBE) on a relaxed Te2RhSe crystal.

The uncorrected formation energy comes out at 1.7 eV per formula unit.

The structure belongs to space group Pmmm (No. 47); the cell edges are 3.387, 4.789 and 5.362 Å and the angles 90.00°, 90.00° and 90.00°. The inequivalent atoms are Te at (0.000, 0.000, 0.000), Te at (0.500, 0.000, 0.500), Rh at (0.000, 0.500, 0.500) and Se at (0.500, 0.500, 0.000).

VASP calculation (PBE) on a relaxed Ca2MgBiN crystal.

The uncorrected formation energy comes out at -4.3 eV per formula unit.

The structure belongs to space group P4/mmm (No. 123); the cell edges are 4.971, 4.971 and 4.393 Å and the angles 90.00°, 90.00° and 90.00°. The inequivalent atoms are Ca at (0.000, 0.500, 0.000), Mg at (0.000, 0.000, 0.500), Bi at (0.500, 0.500, 0.500) and N at (0.000, 0.000, 0.000).

VASP calculation (PBE) on a relaxed LaMn2W crystal.

The formation energy comes out at 151 kJ/mol of formula units. Its energy above the most stable polymorph in this dataset is 100 meV per atom.

The structure belongs to space group R3m (No. 160, hexagonal axes); the cell edges are 4.0721, 4.0721 and 16.6943 Å and the angles 90.00°, 90.00° and 120.00°. The inequivalent atoms are La at (0.0000, 0.0000, 0.0000), Mn at (0.0000, 0.0000, 0.1925), Mn at (0.0000, 0.0000, 0.5172) and W at (0.0000, 0.0000, 0.8031).

VASP calculation (PBE) on a relaxed Sb2TeCBr crystal.

Its energy above the most stable polymorph in this dataset is 0 meV per atom. The uncorrected formation energy comes out at 4.8 eV per formula unit.

The structure belongs to space group P4/mmm (No. 123); the cell edges are 5.018, 5.018 and 4.718 Å and the angles 90.00°, 90.00° and 90.00°. The inequivalent atoms are Sb at (0.000, 0.500, 0.000), Te at (0.000, 0.000, 0.500), C at (0.000, 0.000, 0.000) and Br at (0.500, 0.500, 0.500).

VASP calculation (PBE) on a relaxed Mg2BePb crystal.

The formation energy comes out at 122 kJ/mol of formula units. Its energy above the most stable polymorph in this dataset is 189 meV per atom.

The structure belongs to space group Immm (No. 71); the cell edges are 3.573, 5.108 and 9.228 Å and the angles 90.00°, 90.00° and 90.00°. The inequivalent atoms are Mg at (0.000, 0.000, 0.217), Be at (0.000, 0.500, 0.500) and Pb at (0.000, 0.500, 0.000).

VASP calculation (PBE) on a relaxed NaInBiSb crystal.

The uncorrected formation energy comes out at -0.1 eV per formula unit.

The structure belongs to space group F-43m (No. 216); the cell edges are 7.754, 7.754 and 7.754 Å and the angles 90.00°, 90.00° and 90.00°. The inequivalent atoms are Na at (0.000, 0.000, 0.000), In at (0.250, 0.250, 0.750), Bi at (0.000, 0.000, 0.500) and Sb at (0.250, 0.250, 0.250).

VASP calculation (PBE) on a relaxed YZrPb2 crystal.

The formation energy comes out at -92 kJ/mol of formula units.

The structure belongs to space group Pm (No. 6); the cell edges are 3.467, 5.282 and 6.056 Å and the angles 90.00°, 104.48° and 90.00°. The inequivalent atoms are Y at (0.000, 0.000, 0.000), Zr at (0.911, 0.500, 0.482), Pb at (0.442, 0.000, 0.505) and Pb at (0.480, 0.500, 0.971).

VASP calculation (PBE) on a relaxed BaMo2As crystal.

The formation energy comes out at 142 kJ/mol of formula units.

The structure belongs to space group C2/m (No. 12); the cell edges are 9.368, 3.450 and 5.973 Å and the angles 90.00°, 100.48° and 90.00°. The inequivalent atoms are Ba at (0.000, 0.000, 0.000), Mo at (0.228, 0.000, 0.633) and As at (0.000, 0.500, 0.500).